1.
A geometry-optimized DyP3H5O6 structure, computed with PBE.

Calculated values
SG = C2
theoretical density = 2.599 g/cm³
calculated total energy = -89.86 eV per formula unit
spin magnetization = 2.0 Bohr magnetons per cell

Cell and atoms, written as POSCAR:
```
DyP3H5O6
1.0
7.617 -2.903 0.000
7.617 2.903 0.000
-7.010 0.000 10.302
Dy P H O
2 6 10 12
Direct
0.000 0.000 0.000 Dy
0.996 0.004 0.500 Dy
0.227 0.083 0.860 P
0.325 0.330 0.412 P
0.410 0.405 0.784 P
0.595 0.590 0.216 P
0.670 0.675 0.588 P
0.917 0.773 0.140 P
0.228 0.235 0.405 H
0.236 0.281 0.912 H
0.294 0.296 0.280 H
0.316 0.313 0.656 H
0.501 0.484 0.767 H
0.516 0.499 0.233 H
0.687 0.684 0.344 H
0.704 0.706 0.720 H
0.719 0.764 0.088 H
0.765 0.772 0.595 H
0.077 0.089 0.718 O
0.124 0.123 0.952 O
0.159 0.613 0.475 O
0.189 0.636 0.849 O
0.364 0.811 0.151 O
0.387 0.841 0.525 O
0.607 0.165 0.477 O
0.633 0.184 0.850 O
0.816 0.367 0.150 O
0.835 0.393 0.523 O
0.877 0.876 0.048 O
0.911 0.923 0.282 O
```

=====

2.
A geometry-optimized Dy2HPbO structure, computed with PBE.

Calculated values
SG = I-4m2
DOS(E_F) = 3.777 states/eV/cell
theoretical density = 9.719 g/cm³
calculated total energy = -29.34 eV per formula unit
spin magnetization = 0.0 Bohr magnetons per cell

Cell and atoms, written as POSCAR:
```
Dy2HPbO
1.0
3.765 0.000 0.000
0.000 3.765 0.000
0.000 0.000 13.236
Dy H Pb O
4 2 2 2
Direct
0.000 0.000 0.156 Dy
0.000 0.000 0.844 Dy
0.500 0.500 0.344 Dy
0.500 0.500 0.656 Dy
0.000 0.500 0.750 H
0.500 0.000 0.250 H
0.000 0.000 0.500 Pb
0.500 0.500 0.000 Pb
0.000 0.500 0.250 O
0.500 0.000 0.750 O
```

=====

3.
A geometry-optimized Dy2HOs structure, computed with PBE.

Calculated values
SG = R-3m
DOS(E_F) = 10.267 states/eV/cell
theoretical density = 10.778 g/cm³
calculated total energy = -23.93 eV per formula unit
spin magnetization = 0.0 Bohr magnetons per cell

Cell and atoms, written as POSCAR:
```
Dy2HOs
1.0
3.960 0.000 0.000
-1.980 3.430 0.000
0.000 0.000 17.568
Dy H Os
6 3 3
Direct
0.000 0.000 0.246 Dy
0.000 0.000 0.754 Dy
0.333 0.667 0.421 Dy
0.333 0.667 0.913 Dy
0.667 0.333 0.087 Dy
0.667 0.333 0.579 Dy
0.000 0.000 0.500 H
0.333 0.667 0.167 H
0.667 0.333 0.833 H
0.000 0.000 0.000 Os
0.333 0.667 0.667 Os
0.667 0.333 0.333 Os
```

=====

4.
A geometry-optimized Dy2HOs structure, computed with PBE.

Calculated values
SG = P4/mmm
DOS(E_F) = 2.130 states/eV/cell
theoretical density = 11.277 g/cm³
calculated total energy = -24.27 eV per formula unit
spin magnetization = 0.0 Bohr magnetons per cell

Cell and atoms, written as POSCAR:
```
Dy2HOs
1.0
3.271 0.000 0.000
0.000 3.271 0.000
0.000 0.000 7.106
Dy H Os
2 1 1
Direct
0.000 0.000 0.242 Dy
0.000 0.000 0.758 Dy
0.500 0.500 0.500 H
0.500 0.500 0.000 Os
```

=====

5.
A geometry-optimized DyHOs structure, computed with PBE.

Calculated values
SG = Pnma
DOS(E_F) = 8.684 states/eV/cell
theoretical density = 12.087 g/cm³
calculated total energy = -19.29 eV per formula unit
spin magnetization = 0.0 Bohr magnetons per cell

Cell and atoms, written as POSCAR:
```
DyHOs
1.0
15.644 0.000 0.000
0.000 3.631 0.000
0.000 0.000 3.422
Dy H Os
4 4 4
Direct
0.160 0.250 0.249 Dy
0.340 0.750 0.749 Dy
0.660 0.250 0.251 Dy
0.840 0.750 0.751 Dy
0.196 0.750 0.748 H
0.304 0.250 0.248 H
0.696 0.750 0.752 H
0.804 0.250 0.252 H
0.001 0.750 0.250 Os
0.499 0.250 0.750 Os
0.501 0.750 0.250 Os
0.999 0.250 0.750 Os
```

=====

6.
A geometry-optimized DyH4Os structure, computed with PBE.

Calculated values
SG = Cmcm
DOS(E_F) = 2.353 states/eV/cell
theoretical density = 10.684 g/cm³
calculated total energy = -31.00 eV per formula unit
spin magnetization = 0.0 Bohr magnetons per cell

Cell and atoms, written as POSCAR:
```
DyH4Os
1.0
2.136 -3.109 0.000
2.136 3.109 0.000
0.000 0.000 8.350
Dy H Os
2 8 2
Direct
0.000 0.000 0.000 Dy
0.000 0.000 0.500 Dy
0.146 0.348 0.250 H
0.348 0.146 0.750 H
0.354 0.646 0.546 H
0.354 0.646 0.954 H
0.646 0.354 0.046 H
0.646 0.354 0.454 H
0.652 0.854 0.250 H
0.854 0.652 0.750 H
0.350 0.650 0.750 Os
0.650 0.350 0.250 Os
```